Material: LaHgRh2W
Method: DFT, PBE
State: optimized geometry

Unit cell a=4.897 b=4.897 c=5.423 alpha=90.00 beta=90.00 gamma=90.00
Positions (direct):
La1 0.000 0.000 0.000
Hg1 0.000 0.000 0.500
Rh1 0.000 0.500 0.500
Rh2 0.500 0.000 0.500
W1 0.500 0.500 0.000

Results
Crystal system ... tetragonal
Uncorrected energy ... -4.74 eV per atom
Symmetry ... No. 123
DOS at the Fermi energy ... 9.73 states/eV/cell
Calculated volume ... 130 Å³/cell
ΔH_f (0 K) ... 177.14 kJ/mol of atoms

---

Material: La2ZnHgRh
Method: DFT, PBE
State: optimized geometry

Unit cell a=5.452 b=5.452 c=4.915 alpha=90.00 beta=90.00 gamma=90.00
Positions (direct):
La1 0.000 0.500 0.000
La2 0.500 0.000 0.000
Zn1 0.000 0.000 0.500
Hg1 0.500 0.500 0.500
Rh1 0.000 0.000 0.000

Results
Crystal system ... tetragonal
Excess energy over the best structure of this formula in the dataset ... 54 kJ/mol of formula units
Uncorrected energy ... -4.21 eV per atom
Symmetry ... No. 123
DOS at the Fermi energy ... 3.94 states/eV/cell
Calculated volume ... 146 Å³/cell
ΔH_f (0 K) ... -43.58 kJ/mol of atoms

---

Material: LaZn2HgRh
Method: DFT, PBE
State: optimized geometry

Unit cell a=4.944 b=4.944 c=5.262 alpha=90.00 beta=90.00 gamma=90.00
Positions (direct):
La1 0.000 0.000 0.000
Zn1 0.000 0.500 0.500
Zn2 0.500 0.000 0.500
Hg1 0.500 0.500 0.000
Rh1 0.000 0.000 0.500

Results
Crystal system ... tetragonal
Uncorrected energy ... -3.33 eV per atom
Symmetry ... No. 123
DOS at the Fermi energy ... 3.23 states/eV/cell
Calculated volume ... 129 Å³/cell
ΔH_f (0 K) ... -29.57 kJ/mol of atoms

---

Material: La2ZnHgRh
Method: DFT, PBE
State: optimized geometry

Unit cell a=7.723 b=4.318 c=8.159 alpha=90.00 beta=109.12 gamma=90.00
Positions (direct):
La1 0.135 0.250 0.349
La2 0.277 0.250 0.963
La3 0.723 0.750 0.037
La4 0.865 0.750 0.651
Zn1 0.447 0.750 0.331
Zn2 0.553 0.250 0.669
Hg1 0.318 0.750 0.665
Hg2 0.682 0.250 0.335
Rh1 0.125 0.750 0.101
Rh2 0.875 0.250 0.899

Results
Crystal system ... monoclinic
Excess energy over the best structure of this formula in the dataset ... 0 kJ/mol of formula units
Uncorrected energy ... -4.32 eV per atom
Symmetry ... No. 11
DOS at the Fermi energy ... 8.32 states/eV/cell
Calculated volume ... 257 Å³/cell
ΔH_f (0 K) ... -54.38 kJ/mol of atoms

---

Material: LaHgRu2
Method: DFT, PBE
State: optimized geometry

Unit cell a=3.079 b=4.576 c=5.708 alpha=90.00 beta=90.30 gamma=90.00
Positions (direct):
La1 0.000 0.000 0.000
Hg1 0.500 0.000 0.500
Ru1 0.259 0.500 0.201
Ru2 0.741 0.500 0.799

Results
Crystal system ... monoclinic
Uncorrected energy ... -5.63 eV per atom
Symmetry ... No. 10
DOS at the Fermi energy ... 2.34 states/eV/cell
Calculated volume ... 80 Å³/cell
ΔH_f (0 K) ... 30.45 kJ/mol of atoms

---

Material: LaHg2Ru
Method: DFT, PBE
State: optimized geometry

Unit cell a=3.611 b=4.939 c=5.514 alpha=90.00 beta=108.23 gamma=90.00
Positions (direct):
La1 0.000 0.000 0.000
Hg1 0.362 0.500 0.718
Hg2 0.638 0.500 0.282
Ru1 0.000 0.000 0.500

Results
Crystal system ... monoclinic
Uncorrected energy ... -3.73 eV per atom
Symmetry ... No. 10
DOS at the Fermi energy ... 3.10 states/eV/cell
Calculated volume ... 93 Å³/cell
ΔH_f (0 K) ... -3.18 kJ/mol of atoms

---

Q: calculated volume of number 3 (LaZn2HgRh)?
A: 129 Å³/cell

---

Q: What is the calculated volume in the second record?
A: 146 Å³/cell

---

Q: ΔH_f (0 K) of number 6 (LaHg2Ru)?
A: -3.18 kJ/mol of atoms

---

Q: The lowest uncorrected energy belongs to which entry?
A: LaHgRu2